(1)
First-principles (GGA-PBE) data for an optimized crystal structure of TcSbHSeF, as listed in the Alexandria database.

a = 3.2203 Å, b = 4.5212 Å, c = 7.0188 Å
α = 71.68°, β = 90.00°, γ = 69.23°
Space group P1 (No. 1)
Asymmetric unit:
Tc: 0.0000 0.0000 0.0000
Sb: 0.5809 0.8370 0.3316
H: 0.1880 0.6202 0.1718
Se: 0.2634 0.4757 0.8911
F: 0.3816 0.2461 0.4292

Computed properties:
Crystal system: triclinic

---

(2)
First-principles (GGA-PBE) data for an optimized crystal structure of SrFe2Ru, as listed in the Alexandria database.

a = 4.6595 Å, b = 4.6595 Å, c = 3.1125 Å
α = 90.00°, β = 90.00°, γ = 90.00°
Space group P4/mmm (No. 123)
Asymmetric unit:
Sr: 0.0000 0.0000 0.0000
Fe: 0.0000 0.5000 0.5000
Ru: 0.5000 0.5000 0.0000

Computed properties:
E_form in meV/atom: 837
Crystal system: tetragonal

---

(3)
First-principles (GGA-PBE) data for an optimized crystal structure of HoTm6Al, as listed in the Alexandria database.

a = 8.3293 Å, b = 9.1533 Å, c = 6.1615 Å
α = 90.00°, β = 100.02°, γ = 90.00°
Space group C2/m (No. 12)
Asymmetric unit:
Ho: 0.0000 0.0000 0.0000
Tm: 0.1614 0.5000 0.2057
Tm: 0.1637 0.3103 0.7163
Al: 0.0000 0.0000 0.5000

Computed properties:
E_form in meV/atom: 26
Crystal system: monoclinic

---

(4)
First-principles (GGA-PBE) data for an optimized crystal structure of CaHf2Cd, as listed in the Alexandria database.

a = 8.4176 Å, b = 8.4176 Å, c = 5.9311 Å
α = 90.00°, β = 90.00°, γ = 90.00°
Space group I-42d (No. 122)
Asymmetric unit:
Ca: 0.0000 0.0000 0.0000
Hf: 0.2121 0.2500 0.6250
Cd: 0.0000 0.0000 0.5000

Computed properties:
E_form in meV/atom: 641
Crystal system: tetragonal

---

(5)
First-principles (GGA-PBE) data for an optimized crystal structure of La2Sm5DyTm, as listed in the Alexandria database.

a = 5.6943 Å, b = 20.2782 Å, c = 10.7828 Å
α = 90.00°, β = 90.00°, γ = 90.00°
Space group Cmc2_1 (No. 36)
Asymmetric unit:
La: 0.0000 0.1132 0.0000
La: 0.0000 0.1172 0.5836
Sm: 0.0000 0.0159 0.2866
Sm: 0.0000 0.2793 0.5752
Sm: 0.0000 0.2977 0.9690
Sm: 0.0000 0.3867 0.2877
Sm: 0.0000 0.4814 0.0083
Dy: 0.0000 0.2004 0.2756
Tm: 0.0000 0.4085 0.7287

Computed properties:
E_form in meV/atom: 130
Crystal system: orthorhombic

---

(6)
First-principles (GGA-PBE) data for an optimized crystal structure of SrAl9Ni2, as listed in the Alexandria database.

a = 7.9266 Å, b = 7.9266 Å, c = 3.9296 Å
α = 90.00°, β = 90.00°, γ = 120.00°
Space group P6/mmm (No. 191)
Asymmetric unit:
Sr: 0.0000 0.0000 0.0000
Al: 0.0000 0.5000 0.0000
Al: 0.2117 0.4233 0.5000
Ni: 0.3333 0.6667 0.0000

Computed properties:
E_form in meV/atom: -361
Crystal system: hexagonal

---

(7)
First-principles (GGA-PBE) data for an optimized crystal structure of ZrIrAu2, as listed in the Alexandria database.

a = 6.5987 Å, b = 6.5987 Å, c = 6.5987 Å
α = 90.00°, β = 90.00°, γ = 90.00°
Space group Fm-3m (No. 225)
Asymmetric unit:
Zr: 0.0000 0.0000 0.0000
Ir: 0.0000 0.0000 0.5000
Au: 0.2500 0.2500 0.2500

Computed properties:
E_form in meV/atom: -206
Crystal system: cubic

---

(8)
First-principles (GGA-PBE) data for an optimized crystal structure of Pm5Al2Ga5, as listed in the Alexandria database.

a = 15.5341 Å, b = 4.5228 Å, c = 10.5512 Å
α = 90.00°, β = 129.51°, γ = 90.00°
Space group C2/m (No. 12)
Asymmetric unit:
Pm: 0.0000 0.0000 0.0000
Pm: 0.0997 0.0000 0.4206
Pm: 0.1870 0.0000 0.8249
Al: 0.1492 0.5000 0.2673
Ga: 0.0000 0.5000 0.5000
Ga: 0.0619 0.5000 0.8603
Ga: 0.2394 0.5000 0.6664

Computed properties:
E_form in meV/atom: -536
Crystal system: monoclinic

---

Number 1: total energy -5.09 eV/atom. Number 2: total energy -6.13 eV/atom. Number 3: total energy -4.37 eV/atom. Number 4: total energy -5.07 eV/atom. Number 5: total energy -4.60 eV/atom. Number 6: total energy -4.27 eV/atom. Number 7: total energy -6.20 eV/atom. Number 8: total energy -4.40 eV/atom.